VASP calculation (GGA-PBE) on crystalline Np2Tl3AgTe6 at its relaxed geometry.

Cell: 7.603 7.603 8.563 Å, 98.40 98.40 120.10°
Last column: magnetic moment on the atom in μB.
Element x y z (fractional)
1 Te 0.588 0.929 0.786  -0.13
2 Te 0.071 0.412 0.214  -0.13
3 Te 0.732 0.732 0.209  -0.13
4 Np 0.667 0.333 0.000  3.58
5 Tl 0.165 0.835 0.500  -0.03
6 Tl 0.835 0.165 0.500  -0.03
7 Te 0.929 0.588 0.786  -0.13
8 Np 0.333 0.667 0.000  3.58
9 Ag 0.000 0.000 0.000  -0.05
10 Te 0.268 0.268 0.791  -0.13
11 Te 0.412 0.071 0.214  -0.13
12 Tl 0.500 0.500 0.500  -0.03

Values from the calculation:
The volume comes out at 34.1 Å³/atom. The energy relative to the elements, uncorrected comes out at -0.43 eV per atom. Its space group is C2/m (12). As for the energy: -4.986 eV per atom. As for the crystal system: monoclinic.